A plane-wave DFT calculation with PBE was carried out for a relaxed structure of SrCd2Bi2.

Cell: 8.839 8.839 3.874 Å, 90.00 90.00 90.00°
Fractional positions:
Bi: 0.313 0.187 0.500
Sr: 0.000 0.000 0.000
Bi: 0.813 0.313 0.500
Sr: 0.500 0.500 0.000
Cd: 0.615 0.115 0.000
Cd: 0.385 0.885 0.000
Bi: 0.187 0.687 0.500
Bi: 0.687 0.813 0.500
Cd: 0.885 0.615 0.000
Cd: 0.115 0.385 0.000

Summary:
ΔH_f (0 K) ... -0.27 eV/atom
Crystal system ... tetragonal

---

A plane-wave DFT calculation with PBE was carried out for a relaxed structure of Sr2Cd5Bi.

Cell: 4.900 9.578 10.286 Å, 90.00 90.00 104.82°
Fractional positions:
Sr: 0.194 0.388 0.250
Cd: 0.613 0.226 0.750
Bi: 0.453 0.906 0.750
Cd: 0.654 0.308 0.024
Cd: 0.810 0.620 0.391
Cd: 0.190 0.380 0.609
Cd: 0.346 0.692 0.524
Sr: 0.806 0.612 0.750
Cd: 0.654 0.308 0.476
Cd: 0.190 0.380 0.891
Bi: 0.547 0.094 0.250
Sr: 0.000 0.000 0.500
Sr: 0.000 0.000 0.000
Cd: 0.810 0.620 0.109
Cd: 0.346 0.692 0.976
Cd: 0.387 0.774 0.250

Summary:
ΔH_f (0 K) ... -0.38 eV/atom
Crystal system ... orthorhombic

---

A plane-wave DFT calculation with PBE was carried out for a relaxed structure of SrCdBi2.

Cell: 4.229 4.229 9.239 Å, 76.77 76.77 60.00°
Fractional positions:
Cd: 0.000 0.000 0.000
Bi: 0.262 0.262 0.214
Bi: 0.738 0.738 0.786
Sr: 0.500 0.500 0.500

Summary:
ΔH_f (0 K) ... -0.19 eV/atom
Crystal system ... trigonal

---

A plane-wave DFT calculation with PBE was carried out for a relaxed structure of Sr2Cd2Bi.

Cell: 4.164 4.164 10.455 Å, 78.51 78.51 90.00°
Fractional positions:
Cd: 0.250 0.750 0.500
Sr: 0.598 0.598 0.804
Sr: 0.402 0.402 0.196
Cd: 0.750 0.250 0.500
Bi: 0.000 0.000 0.000

Summary:
ΔH_f (0 K) ... -0.41 eV/atom
E above lowest polymorph ... 26.9 meV per atom
Crystal system ... tetragonal

---

A plane-wave DFT calculation with PBE was carried out for a relaxed structure of Sr2Cd2Bi.

Cell: 8.303 8.303 4.855 Å, 90.00 90.00 90.00°
Fractional positions:
Cd: 0.123 0.377 0.000
Cd: 0.377 0.877 0.000
Bi: 0.000 0.000 0.000
Bi: 0.500 0.500 0.000
Sr: 0.321 0.179 0.500
Cd: 0.623 0.123 0.000
Cd: 0.877 0.623 0.000
Sr: 0.821 0.321 0.500
Sr: 0.679 0.821 0.500
Sr: 0.179 0.679 0.500

Summary:
ΔH_f (0 K) ... -0.43 eV/atom
E above lowest polymorph ... 0.0 meV per atom
Crystal system ... tetragonal

---

A plane-wave DFT calculation with PBE was carried out for a relaxed structure of SrCd2Bi.

Cell: 4.780 4.780 12.036 Å, 78.55 78.55 90.00°
Fractional positions:
Sr: 0.250 0.750 0.500
Bi: 0.000 0.000 0.000
Cd: 0.660 0.125 0.250
Cd: 0.875 0.910 0.750
Sr: 0.500 0.500 0.000
Bi: 0.750 0.250 0.500
Cd: 0.090 0.625 0.250
Cd: 0.375 0.340 0.750

Summary:
ΔH_f (0 K) ... -0.25 eV/atom
Crystal system ... tetragonal

---

A plane-wave DFT calculation with PBE was carried out for a relaxed structure of Sr2Cd2Bi.

Cell: 6.431 6.431 6.376 Å, 59.71 59.71 90.00°
Fractional positions:
Cd: 0.651 0.651 0.697
Sr: 0.750 0.250 0.500
Cd: 0.349 0.349 0.303
Bi: 0.000 0.000 0.000
Sr: 0.250 0.750 0.500

Summary:
ΔH_f (0 K) ... -0.22 eV/atom
E above lowest polymorph ... 216.1 meV per atom
Crystal system ... tetragonal

---

A plane-wave DFT calculation with PBE was carried out for a relaxed structure of SrTbCdBi.

Cell: 5.596 5.596 5.596 Å, 60.00 60.00 60.00°
Fractional positions:
Sr: 0.000 0.000 0.000
Cd: 0.750 0.750 0.750
Bi: 0.250 0.250 0.250
Tb: 0.500 0.500 0.500

Summary:
ΔH_f (0 K) ... -0.42 eV/atom
Crystal system ... cubic

---

A plane-wave DFT calculation with PBE was carried out for a relaxed structure of SrCdBiTe2.

Cell: 6.102 6.335 6.102 Å, 90.00 90.00 90.00°
Fractional positions:
Bi: 0.000 0.500 0.000
Sr: 0.000 0.000 0.000
Cd: 0.500 0.500 0.500
Te: 0.500 0.000 0.000
Te: 0.000 0.000 0.500

Summary:
Energy relative to the elements, uncorrected ... 327 meV per atom
Crystal system ... tetragonal

---

A plane-wave DFT calculation with PBE was carried out for a relaxed structure of SrTlCdBi.

Cell: 5.727 5.727 5.727 Å, 60.00 60.00 60.00°
Fractional positions:
Cd: 0.000 0.000 0.000
Tl: 0.250 0.250 0.250
Bi: 0.500 0.500 0.500
Sr: 0.750 0.750 0.750

Summary:
ΔH_f (0 K) ... -0.33 eV/atom
E above lowest polymorph ... 57.3 meV per atom
Crystal system ... cubic

---

A plane-wave DFT calculation with PBE was carried out for a relaxed structure of SrTlCdBi.

Cell: 4.847 4.776 5.345 Å, 90.00 90.00 90.00°
Fractional positions:
Tl: 0.000 0.500 0.500
Sr: 0.000 0.000 0.000
Bi: 0.500 0.500 0.000
Cd: 0.500 0.000 0.500

Summary:
ΔH_f (0 K) ... -0.39 eV/atom
E above lowest polymorph ... 0.0 meV per atom
Crystal system ... orthorhombic

---

A plane-wave DFT calculation with PBE was carried out for a relaxed structure of Sr2TmCd2Bi4.

Cell: 4.653 7.977 8.745 Å, 110.86 105.43 90.00°
Fractional positions:
Cd: 0.671 0.983 0.343
Tm: 0.000 0.000 0.000
Sr: 0.869 0.397 0.738
Bi: 0.204 0.234 0.407
Sr: 0.131 0.603 0.262
Bi: 0.796 0.766 0.593
Bi: 0.508 0.276 0.015
Cd: 0.329 0.017 0.657
Bi: 0.492 0.724 0.985

Summary:
ΔH_f (0 K) ... -0.57 eV/atom
Crystal system ... monoclinic

---

A plane-wave DFT calculation with PBE was carried out for a relaxed structure of SrYCdBi2.

Cell: 5.913 5.771 5.913 Å, 90.00 90.00 90.00°
Fractional positions:
Bi: 0.500 0.000 0.000
Y: 0.000 0.000 0.000
Sr: 0.500 0.500 0.500
Bi: 0.000 0.000 0.500
Cd: 0.000 0.500 0.000

Summary:
ΔH_f (0 K) ... -0.19 eV/atom
Crystal system ... tetragonal

---

A plane-wave DFT calculation with PBE was carried out for a relaxed structure of TaCdBi3.

Cell: 5.528 5.528 5.528 Å, 90.00 90.00 90.00°
Fractional positions:
Bi: 0.000 0.000 0.500
Cd: 0.500 0.500 0.500
Bi: 0.500 0.000 0.000
Bi: 0.000 0.500 0.000
Ta: 0.000 0.000 0.000

Summary:
ΔH_f (0 K) ... 0.51 eV/atom
E above lowest polymorph ... 0.0 meV per atom
Crystal system ... cubic

---

A plane-wave DFT calculation with PBE was carried out for a relaxed structure of TaCdBi3.

Cell: 5.528 5.528 5.528 Å, 90.00 90.00 90.00°
Fractional positions:
Bi: 0.000 0.500 0.000
Cd: 0.000 0.000 0.000
Bi: 0.500 0.000 0.000
Bi: 0.000 0.000 0.500
Ta: 0.500 0.500 0.500

Summary:
ΔH_f (0 K) ... 1.47 eV/atom
E above lowest polymorph ... 965.0 meV per atom
Crystal system ... cubic

---

A plane-wave DFT calculation with PBE was carried out for a relaxed structure of TaCdBi2.

Cell: 6.735 6.735 8.067 Å, 65.33 65.33 90.00°
Fractional positions:
Cd: 0.250 0.750 0.500
Ta: 0.000 0.000 0.000
Bi: 0.375 0.348 0.750
Ta: 0.750 0.250 0.500
Cd: 0.500 0.500 0.000
Bi: 0.875 0.902 0.750
Bi: 0.098 0.625 0.250
Bi: 0.652 0.125 0.250

Summary:
ΔH_f (0 K) ... 0.74 eV/atom
Crystal system ... tetragonal

---

A plane-wave DFT calculation with PBE was carried out for a relaxed structure of TaCd2Bi.

Cell: 8.297 8.297 6.523 Å, 50.51 50.51 90.00°
Fractional positions:
Cd: 0.375 0.395 0.750
Ta: 0.250 0.750 0.500
Cd: 0.605 0.125 0.250
Bi: 0.000 0.000 0.000
Ta: 0.500 0.500 0.000
Bi: 0.750 0.250 0.500
Cd: 0.145 0.625 0.250
Cd: 0.875 0.855 0.750

Summary:
ΔH_f (0 K) ... 0.68 eV/atom
Crystal system ... tetragonal

---

A plane-wave DFT calculation with PBE was carried out for a relaxed structure of Ta2CdBi.

Cell: 4.956 4.956 4.956 Å, 60.00 60.00 60.00°
Fractional positions:
Bi: 0.500 0.500 0.500
Cd: 0.750 0.750 0.750
Ta: 0.000 0.000 0.000
Ta: 0.250 0.250 0.250

Summary:
ΔH_f (0 K) ... 0.77 eV/atom
E above lowest polymorph ... 29.1 meV per atom
Crystal system ... cubic

---

A plane-wave DFT calculation with PBE was carried out for a relaxed structure of Ta2CdBi.

Cell: 4.118 4.118 11.014 Å, 79.23 79.23 90.00°
Fractional positions:
Ta: 0.875 0.873 0.750
Bi: 0.750 0.250 0.500
Ta: 0.375 0.377 0.750
Bi: 0.000 0.000 0.000
Cd: 0.500 0.500 0.000
Ta: 0.127 0.625 0.250
Cd: 0.250 0.750 0.500
Ta: 0.623 0.125 0.250

Summary:
ΔH_f (0 K) ... 0.78 eV/atom
E above lowest polymorph ... 34.3 meV per atom
Crystal system ... tetragonal

---

A plane-wave DFT calculation with PBE was carried out for a relaxed structure of TaCdBi2.

Cell: 3.190 3.190 12.535 Å, 82.69 82.69 60.00°
Fractional positions:
Bi: 0.080 0.080 0.761
Bi: 0.920 0.920 0.239
Cd: 0.500 0.500 0.500
Ta: 0.000 0.000 0.000

Summary:
ΔH_f (0 K) ... 0.62 eV/atom
Crystal system ... trigonal

---

| no. | density of states at the Fermi level (states/eV per cell) |
| --- | --- |
| 1 | 4.2 |
| 2 | 6.9 |
| 3 | 2.5 |
| 4 | 2.8 |
| 5 | 5.2 |
| 6 | 2.6 |
| 7 | 4.2 |
| 8 | 5.4 |
| 9 | 8.9 |
| 10 | 0.6 |
| 11 | 1.5 |
| 12 | 3.1 |
| 13 | 5.3 |
| 14 | 3.5 |
| 15 | 5.1 |
| 16 | 7.0 |
| 17 | 5.1 |
| 18 | 3.3 |
| 19 | 9.1 |
| 20 | 4.2 |